Entry from Alexandria: a relaxed Na2In5Au3 crystal (PBE-GGA).

ΔE to the lowest computed polymorph in kcal/mol of atoms: 1.17
Symmetry: Ibam (72)
Energy of formation in eV/atom: -0.22
Total magnetic moment in μB per formula unit: 0.0

Structure (POSCAR):
```
Na2In5Au3
1.0
-5.545 7.074 3.189
5.545 -7.074 3.189
5.545 7.074 -3.189
Na In Au
4 10 6
direct
0.169 0.218 0.387
0.331 0.718 0.049
0.669 0.282 0.951
0.831 0.782 0.613
0.050 0.750 0.300
0.070 0.691 0.761
0.250 0.250 0.000
0.430 0.191 0.621
0.450 0.750 0.700
0.550 0.250 0.300
0.570 0.809 0.379
0.750 0.750 0.000
0.930 0.309 0.239
0.950 0.250 0.700
0.153 0.912 0.065
0.250 0.750 0.500
0.347 0.412 0.759
0.653 0.588 0.241
0.750 0.250 0.500
0.847 0.088 0.935
```